CoAg2Pt2O6 | Alexandria | PBE with a Hubbard U | relaxed; calculated total energy = -5.23 eV per atom; space-group type = C2/m (12); total moment = 0.091 μB per atom
1.0
5.3756 -0.1832 0.8304
-2.8162 4.5825 0.8304
-0.1060 -0.1823 6.5246
Pt Ag O Co
2 2 6 1
direct
0.3361 0.6639 0.5000 Pt
0.6639 0.3361 0.5000 Pt
0.1749 0.8251 0.0000 Ag
0.8251 0.1749 0.0000 Ag
0.3818 0.3818 0.3467 O
0.9427 0.2824 0.6614 O
0.7176 0.0573 0.3386 O
0.2824 0.9427 0.6614 O
0.6182 0.6182 0.6533 O
0.0573 0.7176 0.3386 O
0.0000 0.0000 0.5000 Co